Entry 1:
Here is a relaxed structure of K2AlSiS4 from Alexandria via LeMat-Bulk. Energies are from PBE.

Cell: 5.8212 13.5822 22.8828 Å, 90.00 90.00 90.00°
Space group Fddd (No. 70, origin choice 2)
Asymmetric unit:
K: 0.1250 0.1250 0.3033
Al: 0.1250 0.1250 0.1250
Si: 0.1250 0.1250 0.6250
S: 0.1224 0.2823 0.4272

The formation energy (no corrections) comes out at -0.93 eV per atom. The calculation puts the density of states at the Fermi level at 3.9 states/eV/f.u.

Entry 2:
Here is a relaxed structure of RhSe2Br from Alexandria via LeMat-Bulk. Energies are from PBE.

Cell: 3.0627 4.9630 10.9579 Å, 90.00 90.00 90.00°
Space group Immm (No. 71)
Asymmetric unit:
Rh: 0.0000 0.0000 0.0000
Se: 0.0000 0.5000 0.3137
Br: 0.0000 0.0000 0.5000

The relative energy among the computed polymorphs is 514.0 meV per atom. The formation energy (no corrections) comes out at 0.20 eV per atom. The calculation puts the density of states at the Fermi level at 3.4 states/eV/f.u.

Entry 3:
Here is a relaxed structure of ZrReOs from Alexandria via LeMat-Bulk. Energies are from PBE.

Cell: 9.7068 4.2896 6.8257 Å, 90.00 130.11 90.00°
Space group C2/m (No. 12)
Asymmetric unit:
Zr: 0.0638 0.0000 0.3128
Re: 0.1569 0.5000 0.0721
Os: 0.1657 0.5000 0.7093

The relative energy among the computed polymorphs is 0.0 meV per atom. As for the formation energy: -0.175 eV/atom. The calculation puts the density of states at the Fermi level at 2.3 states/eV/f.u.